# AlPt5

An optimized crystal structure of AlPt5 (PBE-GGA, Alexandria via LeMat-Bulk).

Cell lengths 5.226, 5.226, 5.226 Å; angles 60.00, 60.00, 60.00 degrees
Sites, in units of the cell vectors:
Al (0.000, 0.000, 0.000)
Pt (0.126, 0.625, 0.625)
Pt (0.250, 0.250, 0.250)
Pt (0.625, 0.126, 0.625)
Pt (0.625, 0.625, 0.126)
Pt (0.625, 0.625, 0.625)

Summary:
* E_form: 37 meV per atom
* ρ: 16.490 g/cm³